Entry a
# CePuIrPd

An optimized crystal structure of CePuIrPd (GGA-PBE, Alexandria via LeMat-Bulk).

## Properties
- total magnetization (μB per cell) = 6.3
- calculated volume (Å³ per atom) = 21.42

```
CePuIrPd
1.0
4.949 0.000 0.000
2.474 4.286 0.000
2.474 1.429 4.040
Ce Ir Pu Pd
1 1 1 1
Cartesian
2.474 1.429 1.010 Ce
0.000 0.000 0.000 Ir
7.423 4.286 3.030 Pu
4.949 2.857 2.020 Pd
```


Entry b
# CePuIrPd

An optimized crystal structure of CePuIrPd (GGA-PBE, Alexandria via LeMat-Bulk).

## Properties
- total magnetization (μB per cell) = 5.9
- calculated volume (Å³ per atom) = 22.41

```
CePuIrPd
1.0
-2.005 -3.209 -1.031
2.819 -0.796 -3.004
3.922 -1.352 4.040
Pu Ir Pd Ce
1 1 1 1
Cartesian
2.552 -4.174 0.571 Pu
2.342 -2.372 2.827 Ir
0.920 -2.522 -1.398 Pd
0.840 -0.851 1.014 Ce
```


Relative energies, unit meV/atom: entry a 34; entry b 0


Entry a
# CeYIrPd

An optimized crystal structure of CeYIrPd (GGA-PBE, Alexandria via LeMat-Bulk).

## Properties
- total magnetization (μB per cell) = 0.0
- calculated volume (Å³ per atom) = 22.46

```
CeYIrPd
1.0
-1.733 0.614 -3.352
3.435 -1.274 -2.009
-1.071 -5.587 1.711
Pd Ir Y Ce
1 1 1 1
Cartesian
0.519 -1.234 -2.675 Pd
-1.564 -4.262 0.028 Ir
-0.556 -1.516 0.010 Y
-0.572 -4.207 -2.656 Ce
```


Entry b
# CeYIrPd

An optimized crystal structure of CeYIrPd (GGA-PBE, Alexandria via LeMat-Bulk).

## Properties
- total magnetization (μB per cell) = 0.7
- calculated volume (Å³ per atom) = 21.63

```
CeYIrPd
1.0
-2.998 -0.148 -3.954
-2.680 -4.073 -0.931
-4.925 0.075 0.616
Pd Ce Y Ir
1 1 1 1
Cartesian
-5.302 -2.073 -2.135 Pd
-2.651 -1.037 -1.067 Ce
-7.953 -3.110 -3.202 Y
0.000 0.000 0.000 Ir
```


Relative energies, unit meV/atom: entry a 0; entry b 102


Entry a
# CePmIr2

An optimized crystal structure of CePmIr2 (GGA-PBE, Alexandria via LeMat-Bulk).

## Properties
- total magnetization (μB per cell) = 0.0
- calculated volume (Å³ per atom) = 21.66

```
CePmIr2
1.0
3.500 0.000 0.000
0.000 3.500 0.000
0.000 0.000 7.075
Ir Ce Pm
2 1 1
Cartesian
0.000 0.000 1.626 Ir
0.000 0.000 5.449 Ir
1.750 1.750 0.000 Ce
1.750 1.750 3.537 Pm
```


Entry b
# CePmIr2

An optimized crystal structure of CePmIr2 (GGA-PBE, Alexandria via LeMat-Bulk).

## Properties
- total magnetization (μB per cell) = 0.0
- calculated volume (Å³ per atom) = 22.53

```
CePmIr2
1.0
-3.550 6.022 2.272
0.800 -1.604 5.502
7.328 4.250 0.173
Ce Pm Ir
4 4 8
Cartesian
2.305 6.505 2.465 Ce
4.243 3.168 2.446 Ce
0.335 5.499 5.502 Ce
2.273 2.163 5.483 Ce
-1.393 4.379 2.330 Pm
0.559 1.014 2.407 Pm
4.019 7.653 5.541 Pm
5.971 4.289 5.618 Pm
-0.384 7.057 3.162 Ir
4.989 5.826 3.121 Ir
4.963 1.610 4.785 Ir
1.529 -0.499 4.823 Ir
-0.411 2.842 4.827 Ir
3.050 9.167 3.125 Ir
3.063 4.871 5.066 Ir
1.515 3.797 2.881 Ir
```


Relative energies, unit meV/atom: entry a 76; entry b 0